Entry 1:
CsRbSnS2: relaxed, PBE.

Cell lengths 7.762, 7.762, 12.847 Å; angles 106.63, 106.63, 31.63 degrees
Sites, in units of the cell vectors:
Cs: 0.158 0.158 0.134
Cs: 0.842 0.842 0.866
Rb: 0.144 0.144 0.533
Rb: 0.856 0.856 0.467
Sn: 0.465 0.465 0.285
Sn: 0.535 0.535 0.715
S: 0.080 0.080 0.846
S: 0.361 0.361 0.666
S: 0.639 0.639 0.334
S: 0.920 0.920 0.154

## Properties
The space-group type is C2/m (12). Its formation energy without anion corrections is -4.3 eV/f.u.

Entry 2:
CsRb2TcS4: relaxed, PBE.

Cell lengths 7.340, 7.340, 7.340 Å; angles 109.14, 109.14, 110.13 degrees
Sites, in units of the cell vectors:
Cs: 0.000 0.000 0.000
Rb: 0.500 0.500 0.000
Rb: 0.750 0.250 0.500
Tc: 0.250 0.750 0.500
S: 0.256 0.061 0.516
S: 0.260 0.744 0.804
S: 0.545 0.740 0.484
S: 0.939 0.455 0.196

## Properties
The space-group type is I-4 (82). Its formation energy without anion corrections is -6.6 eV/f.u.

Entry 3:
Cs2RbTcS4: relaxed, PBE.

Cell lengths 7.419, 7.419, 7.419 Å; angles 110.69, 110.69, 107.06 degrees
Sites, in units of the cell vectors:
Cs: 0.000 0.000 0.000
Cs: 0.750 0.250 0.500
Rb: 0.500 0.500 0.000
Tc: 0.250 0.750 0.500
S: 0.246 0.730 0.192
S: 0.270 0.462 0.516
S: 0.538 0.055 0.808
S: 0.945 0.754 0.484

## Properties
The space-group type is I-4 (82). Its formation energy without anion corrections is -6.8 eV/f.u.

Entry 4:
Cs2RbTeS4: relaxed, PBE.

Cell lengths 17.945, 16.963, 7.949 Å; angles 83.84, 70.03, 26.13 degrees
Sites, in units of the cell vectors:
Cs: 0.076 0.076 0.674
Cs: 0.326 0.326 0.924
Cs: 0.674 0.674 0.076
Cs: 0.924 0.924 0.326
Rb: 0.125 0.125 0.125
Rb: 0.875 0.875 0.875
Te: 0.375 0.375 0.375
Te: 0.625 0.625 0.625
S: 0.046 0.624 0.480
S: 0.350 0.480 0.624
S: 0.376 0.954 0.650
S: 0.480 0.350 0.046
S: 0.520 0.650 0.954
S: 0.624 0.046 0.350
S: 0.650 0.520 0.376
S: 0.954 0.376 0.520

## Properties
The space-group type is Fddd (70). Its formation energy without anion corrections is -4.4 eV/f.u.

Entry 5:
CsRbTeS2: relaxed, PBE.

Cell lengths 8.105, 6.009, 9.259 Å; angles 90.00, 103.52, 90.00 degrees
Sites, in units of the cell vectors:
Cs: 0.000 0.205 0.250
Cs: 0.000 0.795 0.750
Rb: 0.500 0.483 0.750
Rb: 0.500 0.517 0.250
Te: 0.500 0.000 0.000
Te: 0.500 0.000 0.500
S: 0.243 0.258 0.958
S: 0.243 0.742 0.458
S: 0.757 0.258 0.542
S: 0.757 0.742 0.042

## Properties
The space-group type is P2/c (13). Its formation energy without anion corrections is -2.8 eV/f.u.

Entry 6:
CsRbThS3: relaxed, PBE.

Cell lengths 8.975, 8.975, 7.549 Å; angles 95.05, 95.05, 127.15 degrees
Sites, in units of the cell vectors:
Cs: 0.244 0.756 0.750
Cs: 0.756 0.244 0.250
Rb: 0.419 0.581 0.250
Rb: 0.581 0.419 0.750
Th: 0.055 0.945 0.250
Th: 0.945 0.055 0.750
S: 0.170 0.252 0.498
S: 0.218 0.782 0.250
S: 0.252 0.170 0.998
S: 0.748 0.830 0.002
S: 0.782 0.218 0.750
S: 0.830 0.748 0.502

## Properties
The space-group type is C2/c (15). Its formation energy without anion corrections is -9.5 eV/f.u.

Entry 7:
CsRbTiS3: relaxed, PBE.

Cell lengths 8.478, 8.478, 6.753 Å; angles 95.32, 95.32, 125.45 degrees
Sites, in units of the cell vectors:
Cs: 0.239 0.761 0.750
Cs: 0.761 0.239 0.250
Rb: 0.409 0.591 0.250
Rb: 0.591 0.409 0.750
Ti: 0.044 0.956 0.250
Ti: 0.956 0.044 0.750
S: 0.162 0.232 0.497
S: 0.194 0.806 0.250
S: 0.232 0.162 0.997
S: 0.768 0.838 0.003
S: 0.806 0.194 0.750
S: 0.838 0.768 0.503

## Properties
The space-group type is C2/c (15). Its formation energy without anion corrections is -8.0 eV/f.u.

Entry 8:
CsRbTlS2: relaxed, PBE.

Cell lengths 7.933, 7.475, 8.732 Å; angles 90.00, 90.19, 90.00 degrees
Sites, in units of the cell vectors:
Cs: 0.000 0.002 0.250
Cs: 0.000 0.998 0.750
Rb: 0.500 0.500 0.250
Rb: 0.500 0.500 0.750
Tl: 0.500 0.000 0.000
Tl: 0.500 0.000 0.500
S: 0.271 0.248 0.999
S: 0.271 0.752 0.499
S: 0.729 0.248 0.501
S: 0.729 0.752 0.001

## Properties
The space-group type is P2/c (13). Its formation energy without anion corrections is -2.9 eV/f.u.

Entry 9:
CsRb2US6: relaxed, PBE.

Cell lengths 8.780, 7.994, 10.868 Å; angles 90.00, 120.22, 90.00 degrees
Sites, in units of the cell vectors:
Cs: 0.000 0.000 0.000
Cs: 0.000 0.500 0.500
Rb: 0.252 0.015 0.791
Rb: 0.252 0.485 0.291
Rb: 0.748 0.515 0.709
Rb: 0.748 0.985 0.209
U: 0.500 0.000 0.500
U: 0.500 0.500 0.000
S: 0.185 0.075 0.349
S: 0.185 0.425 0.849
S: 0.379 0.736 0.119
S: 0.379 0.764 0.619
S: 0.442 0.233 0.659
S: 0.442 0.267 0.159
S: 0.558 0.733 0.841
S: 0.558 0.767 0.341
S: 0.621 0.236 0.381
S: 0.621 0.264 0.881
S: 0.815 0.575 0.151
S: 0.815 0.925 0.651

## Properties
The space-group type is P2_1/c (14). Its formation energy without anion corrections is -10.0 eV/f.u.

Entry 10:
CsRbVS4: relaxed, PBE.

Cell lengths 7.572, 5.483, 12.333 Å; angles 90.00, 96.19, 90.00 degrees
Sites, in units of the cell vectors:
Cs: 0.246 0.250 0.485
Cs: 0.754 0.750 0.515
Rb: 0.227 0.250 0.902
Rb: 0.773 0.750 0.098
V: 0.304 0.750 0.231
V: 0.696 0.250 0.769
S: 0.082 0.750 0.326
S: 0.228 0.750 0.060
S: 0.494 0.528 0.718
S: 0.494 0.972 0.718
S: 0.506 0.028 0.282
S: 0.506 0.472 0.282
S: 0.772 0.250 0.940
S: 0.918 0.250 0.674

## Properties
The space-group type is P2_1/m (11). Its formation energy without anion corrections is -6.7 eV/f.u.

What did the fifth record say?
CsRbTeS2: relaxed, PBE.

Cell lengths 8.105, 6.009, 9.259 Å; angles 90.00, 103.52, 90.00 degrees
Sites, in units of the cell vectors:
Cs: 0.000 0.205 0.250
Cs: 0.000 0.795 0.750
Rb: 0.500 0.483 0.750
Rb: 0.500 0.517 0.250
Te: 0.500 0.000 0.000
Te: 0.500 0.000 0.500
S: 0.243 0.258 0.958
S: 0.243 0.742 0.458
S: 0.757 0.258 0.542
S: 0.757 0.742 0.042

## Properties
The space-group type is P2/c (13). Its formation energy without anion corrections is -2.8 eV/f.u.

Please write out number 6 again, unchanged.
CsRbThS3: relaxed, PBE.

Cell lengths 8.975, 8.975, 7.549 Å; angles 95.05, 95.05, 127.15 degrees
Sites, in units of the cell vectors:
Cs: 0.244 0.756 0.750
Cs: 0.756 0.244 0.250
Rb: 0.419 0.581 0.250
Rb: 0.581 0.419 0.750
Th: 0.055 0.945 0.250
Th: 0.945 0.055 0.750
S: 0.170 0.252 0.498
S: 0.218 0.782 0.250
S: 0.252 0.170 0.998
S: 0.748 0.830 0.002
S: 0.782 0.218 0.750
S: 0.830 0.748 0.502

## Properties
The space-group type is C2/c (15). Its formation energy without anion corrections is -9.5 eV/f.u.

Q: formation energy without anion corrections of number 6 (CsRbThS3)?
A: -9.5 eV/f.u.

Q: What is the formula in the eighth record?
A: CsRbTlS2